The following is a GGA-PBE calculation of a geometry-optimized BaCu2As3 structure, from Alexandria.

Cell: 4.5112 4.5112 24.7153 Å, 90.00 90.00 90.00°
Last column: nearest neighbours and their distance in Å.
Space group I4/mmm (No. 139)
Asymmetric unit:
Ba (0.0000, 0.0000, 0.1512)  8 Cu 3.32-3.48, 8 As 3.38
Cu (0.0000, 0.0000, 0.4055)  5 As 2.52-2.53
Cu (0.0000, 0.5000, 0.2500)  4 As 2.61
As (0.0000, 0.0000, 0.3032)  5 Cu 2.53-2.61
As (0.0000, 0.5000, 0.0492)  1 As 2.43, 2 Cu 2.52

## Properties
Its energy of formation from the pure elements is -0.34 eV/atom. The crystal system is tetragonal. As for the density of states at the Fermi level: 2.1 states/eV/f.u. The calculation puts the uncorrected energy at -26.1 eV per formula unit. The value obtained for the volume is 503.0 Å³/cell.

=====

The following is a GGA-PBE calculation of a geometry-optimized AcTmO2 structure, from Alexandria.

Cell: 3.5301 3.5301 18.4088 Å, 90.00 90.00 120.00°
Last column: nearest neighbours and their distance in Å.
Space group R-3m (No. 166, hexagonal axes)
Asymmetric unit:
Ac (0.0000, 0.0000, 0.0000)  6 O 2.83
Tm (0.0000, 0.0000, 0.5000)  6 O 2.32
O (0.0000, 0.0000, 0.2267)  3 Tm 2.32

## Properties
The crystal system is trigonal. The calculation puts the formation energy without anion corrections at -2.7761 eV per atom. As for the density of states at the Fermi level: 0.8 states/eV/f.u. The calculation puts the uncorrected energy at -29.6 eV per formula unit. The value obtained for the volume is 198.7 Å³/cell.

=====

The following is a GGA-PBE calculation of a geometry-optimized Tb5Dy4Er2 structure, from Alexandria.

Cell: 10.9520 7.2926 9.1317 Å, 90.00 106.88 90.00°
Last column: nearest neighbours and their distance in Å.
Space group C2/m (No. 12)
Asymmetric unit:
Tb (0.0000, 0.0000, 0.0000)  4 Tb 3.15, 2 Dy 3.41
Tb (0.0683, 0.2793, 0.2747)  2 Tb 3.15-3.22, 2 Er 3.41-3.44, 3 Dy 3.42-3.43
Dy (0.1685, 0.5000, 0.6198)  3 Er 3.41-3.66, 2 Dy 3.41-3.70, 6 Tb 3.42-3.43
Dy (0.1887, 0.5000, 0.9993)  5 Tb 3.41-3.56, 1 Dy 3.41, 1 Er 3.42
Er (0.1449, 0.0000, 0.6205)  1 Er 3.30, 4 Dy 3.41-3.66, 6 Tb 3.41-3.64

## Properties
Its energy of formation from the pure elements is 0.13 eV/atom. The crystal system is monoclinic. As for the density of states at the Fermi level: 17.4 states/eV/f.u. The calculation puts the uncorrected energy at -49.2 eV per formula unit. The value obtained for the volume is 697.9 Å³/cell.

=====

The following is a GGA-PBE calculation of a geometry-optimized Ba2CdOs structure, from Alexandria.

Cell: 7.8572 7.8778 4.0360 Å, 90.00 90.00 90.00°
Last column: nearest neighbours and their distance in Å.
Space group Cmmm (No. 65)
Asymmetric unit:
Ba (0.2500, 0.2500, 0.0000)  4 Cd 3.44, 4 Os 3.44
Cd (0.0000, 0.0000, 0.5000)  8 Ba 3.44
Os (0.0000, 0.5000, 0.5000)  8 Ba 3.44

## Properties
Its energy of formation from the pure elements is 0.59 eV/atom. The crystal system is orthorhombic. As for the density of states at the Fermi level: 5.4 states/eV/f.u. The calculation puts the uncorrected energy at -13.6 eV per formula unit. The value obtained for the volume is 249.8 Å³/cell.

=====

Number 1 is which compound? BaCu2As3

=====

Which value of uncorrected energy does entry 2 give? -29.6 eV per formula unit

=====

Number 4 is which compound? Ba2CdOs